(1)
# TlPdAuO4 PBE-GGA relaxed
data_TlPdAuO4
_chemical_formula_sum 'Tl2 Pd2 Au2 O8'
_symmetry_space_group_name_H-M 'P 1'
_symmetry_Int_Tables_number 1
_cell_length_a 6.7192
_cell_length_b 6.7192
_cell_length_c 6.7192
_cell_angle_alpha 124.59
_cell_angle_beta 119.81
_cell_angle_gamma 86.28
loop_
_symmetry_equiv_pos_as_xyz
'x,y,z'
loop_
_atom_site_label
_atom_site_fract_x
_atom_site_fract_y
_atom_site_fract_z
Tl1 0.0000 0.0000 0.0000
Tl2 0.5000 0.0000 0.5000
Pd1 0.5000 0.0000 0.0000
Pd2 0.5000 0.5000 0.5000
Au1 0.0431 0.2931 0.7500
Au2 0.9569 0.7069 0.2500
O1 0.2923 0.2781 0.4858
O2 0.2923 0.8065 0.0142
O3 0.3007 0.7492 0.5514
O4 0.3022 0.2508 0.0514
O5 0.6978 0.7492 0.9486
O6 0.6993 0.2508 0.4486
O7 0.7077 0.1935 0.9858
O8 0.7077 0.7219 0.5142
# - E_tot: -4.66 eV/atom
# - Raw formation energy: -0.278 eV per atom
# - Symmetry: Imma (74)

***

(2)
# PmAuO4 PBE-GGA relaxed
data_PmAuO4
_chemical_formula_sum 'Pm2 Au2 O8'
_symmetry_space_group_name_H-M 'P 1'
_symmetry_Int_Tables_number 1
_cell_length_a 6.6005
_cell_length_b 6.6005
_cell_length_c 6.6005
_cell_angle_alpha 129.02
_cell_angle_beta 128.27
_cell_angle_gamma 75.58
loop_
_symmetry_equiv_pos_as_xyz
'x,y,z'
loop_
_atom_site_label
_atom_site_fract_x
_atom_site_fract_y
_atom_site_fract_z
Pm1 0.2500 0.2500 0.0000
Pm2 0.7500 0.7500 0.0000
Au1 0.0000 0.5000 0.5000
Au2 0.5000 0.0000 0.5000
O1 0.0387 0.5365 0.8426
O2 0.1939 0.0365 0.4977
O3 0.3061 0.8038 0.8426
O4 0.4613 0.3038 0.4977
O5 0.5387 0.6962 0.5023
O6 0.6939 0.1962 0.1574
O7 0.8061 0.9635 0.5023
O8 0.9613 0.4635 0.1574
# - E_tot: -5.90 eV/atom
# - Raw formation energy: -1.260 eV per atom
# - Symmetry: Ibam (72)

***

(3)
# Pm5Au4O PBE-GGA relaxed
data_Pm5Au4O
_chemical_formula_sum 'Pm5 Au4 O1'
_symmetry_space_group_name_H-M 'P 1'
_symmetry_Int_Tables_number 1
_cell_length_a 7.1824
_cell_length_b 7.1824
_cell_length_c 7.1824
_cell_angle_alpha 98.40
_cell_angle_beta 98.40
_cell_angle_gamma 135.06
loop_
_symmetry_equiv_pos_as_xyz
'x,y,z'
loop_
_atom_site_label
_atom_site_fract_x
_atom_site_fract_y
_atom_site_fract_z
Pm1 0.0000 0.0000 0.0000
Pm2 0.2619 0.6207 0.8826
Pm3 0.3793 0.2619 0.6412
Pm4 0.6207 0.7381 0.3588
Pm5 0.7381 0.3793 0.1174
Au1 0.0585 0.3447 0.4033
Au2 0.3447 0.9415 0.2862
Au3 0.6553 0.0585 0.7138
Au4 0.9415 0.6553 0.5967
O1 0.5000 0.5000 0.0000
# - E_tot: -5.24 eV/atom
# - Raw formation energy: -1.060 eV per atom
# - Symmetry: I4/m (87)

***

(4)
# Pm6Au2O PBE-GGA relaxed
data_Pm6Au2O
_chemical_formula_sum 'Pm12 Au4 O2'
_symmetry_space_group_name_H-M 'P 1'
_symmetry_Int_Tables_number 1
_cell_length_a 6.6909
_cell_length_b 7.2173
_cell_length_c 12.0444
_cell_angle_alpha 90.00
_cell_angle_beta 122.96
_cell_angle_gamma 90.00
loop_
_symmetry_equiv_pos_as_xyz
'x,y,z'
loop_
_atom_site_label
_atom_site_fract_x
_atom_site_fract_y
_atom_site_fract_z
Pm1 0.1169 0.0206 0.2423
Pm2 0.1169 0.4794 0.7423
Pm3 0.2330 0.7016 0.0549
Pm4 0.2330 0.7984 0.5549
Pm5 0.3645 0.1893 0.0538
Pm6 0.3645 0.3107 0.5538
Pm7 0.6355 0.6893 0.4462
Pm8 0.6355 0.8107 0.9462
Pm9 0.7670 0.2016 0.4451
Pm10 0.7670 0.2984 0.9451
Pm11 0.8831 0.5206 0.2577
Pm12 0.8831 0.9794 0.7577
Au1 0.3075 0.0933 0.7499
Au2 0.3075 0.4067 0.2499
Au3 0.6925 0.5933 0.7501
Au4 0.6925 0.9067 0.2501
O1 0.0000 0.0000 0.0000
O2 0.0000 0.5000 0.5000
# - E_tot: -5.42 eV/atom
# - Raw formation energy: -0.971 eV per atom
# - Symmetry: P2_1/c (14)

***

(5)
# Pm2AuO2 PBE-GGA relaxed
data_Pm2AuO2
_chemical_formula_sum 'Pm2 Au1 O2'
_symmetry_space_group_name_H-M 'P 1'
_symmetry_Int_Tables_number 1
_cell_length_a 6.8179
_cell_length_b 6.8179
_cell_length_c 6.8179
_cell_angle_alpha 145.83
_cell_angle_beta 145.83
_cell_angle_gamma 49.09
loop_
_symmetry_equiv_pos_as_xyz
'x,y,z'
loop_
_atom_site_label
_atom_site_fract_x
_atom_site_fract_y
_atom_site_fract_z
Pm1 0.1563 0.1563 0.0000
Pm2 0.8437 0.8437 0.0000
Au1 0.5000 0.5000 0.0000
O1 0.2500 0.7500 0.5000
O2 0.7500 0.2500 0.5000
# - E_tot: -7.07 eV/atom
# - Raw formation energy: -2.528 eV per atom
# - Symmetry: I4/mmm (139)

***

(6)
# Pm5Au2O PBE-GGA relaxed
data_Pm5Au2O
_chemical_formula_sum 'Pm10 Au4 O2'
_symmetry_space_group_name_H-M 'P 1'
_symmetry_Int_Tables_number 1
_cell_length_a 5.8685
_cell_length_b 5.8685
_cell_length_c 14.7927
_cell_angle_alpha 90.00
_cell_angle_beta 90.00
_cell_angle_gamma 127.14
loop_
_symmetry_equiv_pos_as_xyz
'x,y,z'
loop_
_atom_site_label
_atom_site_fract_x
_atom_site_fract_y
_atom_site_fract_z
Pm1 0.0938 0.9062 0.6228
Pm2 0.0938 0.9062 0.8772
Pm3 0.2506 0.7494 0.2500
Pm4 0.4055 0.5945 0.6229
Pm5 0.4055 0.5945 0.8771
Pm6 0.5945 0.4055 0.1229
Pm7 0.5945 0.4055 0.3771
Pm8 0.7494 0.2506 0.7500
Pm9 0.9062 0.0938 0.1228
Pm10 0.9062 0.0938 0.3772
Au1 0.2499 0.7501 0.0555
Au2 0.2499 0.7501 0.4445
Au3 0.7501 0.2499 0.5555
Au4 0.7501 0.2499 0.9445
O1 0.2495 0.7505 0.7500
O2 0.7505 0.2495 0.2500
# - E_tot: -5.38 eV/atom
# - Raw formation energy: -0.970 eV per atom
# - Symmetry: Cmcm (63)

***

(7)
# Pm3AuO PBE-GGA relaxed
data_Pm3AuO
_chemical_formula_sum 'Pm6 Au2 O2'
_symmetry_space_group_name_H-M 'P 1'
_symmetry_Int_Tables_number 1
_cell_length_a 8.0602
_cell_length_b 8.0602
_cell_length_c 3.8581
_cell_angle_alpha 90.00
_cell_angle_beta 90.00
_cell_angle_gamma 108.05
loop_
_symmetry_equiv_pos_as_xyz
'x,y,z'
loop_
_atom_site_label
_atom_site_fract_x
_atom_site_fract_y
_atom_site_fract_z
Pm1 0.1796 0.4429 0.5000
Pm2 0.1835 0.8165 0.0000
Pm3 0.4429 0.1796 0.5000
Pm4 0.5571 0.8204 0.5000
Pm5 0.8165 0.1835 0.0000
Pm6 0.8204 0.5571 0.5000
Au1 0.0000 0.0000 0.5000
Au2 0.5000 0.5000 0.0000
O1 0.0000 0.5000 0.0000
O2 0.5000 0.0000 0.0000
# - Offset from the most stable computed form: 91.2 meV/atom
# - E_tot: -5.86 eV/atom
# - Raw formation energy: -1.362 eV per atom
# - Symmetry: Cmmm (65)

***

(8)
# Pm4Au2O PBE-GGA relaxed
data_Pm4Au2O
_chemical_formula_sum 'Pm4 Au2 O1'
_symmetry_space_group_name_H-M 'P 1'
_symmetry_Int_Tables_number 1
_cell_length_a 8.2932
_cell_length_b 8.2932
_cell_length_c 8.2932
_cell_angle_alpha 146.17
_cell_angle_beta 146.17
_cell_angle_gamma 48.59
loop_
_symmetry_equiv_pos_as_xyz
'x,y,z'
loop_
_atom_site_label
_atom_site_fract_x
_atom_site_fract_y
_atom_site_fract_z
Pm1 0.0000 0.5000 0.5000
Pm2 0.1807 0.1807 0.0000
Pm3 0.5000 0.0000 0.5000
Pm4 0.8193 0.8193 0.0000
Au1 0.3702 0.3702 0.0000
Au2 0.6298 0.6298 0.0000
O1 0.0000 0.0000 0.0000
# - E_tot: -5.60 eV/atom
# - Raw formation energy: -1.238 eV per atom
# - Symmetry: I4/mmm (139)

***

(9)
# Pm6Au3O2 PBE-GGA relaxed
data_Pm6Au3O2
_chemical_formula_sum 'Pm6 Au3 O2'
_symmetry_space_group_name_H-M 'P 1'
_symmetry_Int_Tables_number 1
_cell_length_a 12.1169
_cell_length_b 12.1169
_cell_length_c 12.1169
_cell_angle_alpha 156.98
_cell_angle_beta 156.98
_cell_angle_gamma 32.78
loop_
_symmetry_equiv_pos_as_xyz
'x,y,z'
loop_
_atom_site_label
_atom_site_fract_x
_atom_site_fract_y
_atom_site_fract_z
Pm1 0.0852 0.5852 0.5000
Pm2 0.2043 0.2043 0.0000
Pm3 0.4148 0.9148 0.5000
Pm4 0.5852 0.0852 0.5000
Pm5 0.7957 0.7957 0.0000
Pm6 0.9148 0.4148 0.5000
Au1 0.3298 0.3298 0.0000
Au2 0.5000 0.5000 0.0000
Au3 0.6702 0.6702 0.0000
O1 0.1013 0.1013 0.0000
O2 0.8987 0.8987 0.0000
# - E_tot: -5.80 eV/atom
# - Raw formation energy: -1.412 eV per atom
# - Symmetry: I4/mmm (139)

***

(10)
# Pm4Au2O PBE-GGA relaxed
data_Pm4Au2O
_chemical_formula_sum 'Pm8 Au4 O2'
_symmetry_space_group_name_H-M 'P 1'
_symmetry_Int_Tables_number 1
_cell_length_a 6.9613
_cell_length_b 7.1930
_cell_length_c 7.8776
_cell_angle_alpha 90.00
_cell_angle_beta 106.09
_cell_angle_gamma 90.00
loop_
_symmetry_equiv_pos_as_xyz
'x,y,z'
loop_
_atom_site_label
_atom_site_fract_x
_atom_site_fract_y
_atom_site_fract_z
Pm1 0.0071 0.0080 0.2502
Pm2 0.0071 0.4920 0.2502
Pm3 0.4152 0.2500 0.5960
Pm4 0.4360 0.2500 0.1194
Pm5 0.5640 0.7500 0.8806
Pm6 0.5848 0.7500 0.4040
Pm7 0.9929 0.5080 0.7498
Pm8 0.9929 0.9920 0.7498
Au1 0.2235 0.7500 0.5480
Au2 0.2353 0.7500 0.0653
Au3 0.7647 0.2500 0.9347
Au4 0.7765 0.2500 0.4520
O1 0.2367 0.2500 0.3063
O2 0.7633 0.7500 0.6937
# - E_tot: -5.60 eV/atom
# - Raw formation energy: -1.238 eV per atom
# - Symmetry: P2_1/m (11)